TlCuMo2O8: relaxed, GGA+U.

Values from the calculation:
As for the space group: No. 164. Its volume is 216.2 Å³/cell. The raw total energy comes out at -74.55 eV for the cell shown.

Cell: 5.7462 5.7462 7.5613 Å, 90.00 90.00 120.00°
Atoms (fractional coordinates):
Tl 0.0000 0.0000 0.0000
Cu 0.0000 0.0000 0.5000
Mo 0.3333 0.6667 0.2756
Mo 0.6667 0.3333 0.7244
O 0.1591 0.3182 0.3439
O 0.1591 0.8409 0.3439
O 0.3182 0.1591 0.6561
O 0.3333 0.6667 0.0441
O 0.6667 0.3333 0.9559
O 0.6818 0.8409 0.3439
O 0.8409 0.1591 0.6561
O 0.8409 0.6818 0.6561